(1)
First-principles (GGA-PBEsol) data for crystalline CrTeBr at its relaxed geometry, as listed in the Alexandria database.

The structure in CIF format:
```
data_CrTeBr
_chemical_formula_sum 'Cr1 Te1 Br1'
_symmetry_space_group_name_H-M 'P 3 m 1'
_symmetry_Int_Tables_number 156
_cell_length_a 3.7144
_cell_length_b 3.7144
_cell_length_c 6.5421
_cell_angle_alpha 90.00
_cell_angle_beta 90.00
_cell_angle_gamma 120.00
loop_
_symmetry_equiv_pos_as_xyz
'x,y,z'
'-y,x-y,z'
'-x+y,-x,z'
'-y,-x,z'
'-x+y,y,z'
'x,x-y,z'
loop_
_atom_site_label
_atom_site_type_symbol
_atom_site_fract_x
_atom_site_fract_y
_atom_site_fract_z
Cr1 Cr 0.0000 0.0000 0.0000
Te1 Te 0.3333 0.6667 0.7644
Br1 Br 0.6667 0.3333 0.2295
```

Computed properties:
raw formation energy: -390 meV per atom

***

(2)
First-principles (GGA-PBEsol) data for crystalline Sb2TeOs at its relaxed geometry, as listed in the Alexandria database.

The structure in CIF format:
```
data_Sb2TeOs
_chemical_formula_sum 'Sb4 Te2 Os2'
_symmetry_space_group_name_H-M 'C 1 m 1'
_symmetry_Int_Tables_number 8
_cell_length_a 9.1805
_cell_length_b 3.7456
_cell_length_c 6.0346
_cell_angle_alpha 90.00
_cell_angle_beta 110.64
_cell_angle_gamma 90.00
loop_
_symmetry_equiv_pos_as_xyz
'x,y,z'
'x,-y,z'
'x+1/2,y+1/2,z'
'x+1/2,-y+1/2,z'
loop_
_atom_site_label
_atom_site_type_symbol
_atom_site_fract_x
_atom_site_fract_y
_atom_site_fract_z
Sb1 Sb 0.0000 0.0000 0.0000
Sb2 Sb 0.1540 0.0000 0.6516
Te1 Te 0.3504 0.0000 0.3376
Os1 Os 0.2094 0.5000 0.9990
```

Computed properties:
raw formation energy: 241 meV per atom

***

(3)
First-principles (GGA-PBEsol) data for crystalline SrLi3Y at its relaxed geometry, as listed in the Alexandria database.

The structure in CIF format:
```
data_SrLi3Y
_chemical_formula_sum 'Sr1 Li3 Y1'
_symmetry_space_group_name_H-M 'P m -3 m'
_symmetry_Int_Tables_number 221
_symmetry_space_group_name_Hall '-P 4 2 3'
_cell_length_a 5.5819
_cell_length_b 5.5819
_cell_length_c 5.5819
_cell_angle_alpha 90.00
_cell_angle_beta 90.00
_cell_angle_gamma 90.00
loop_
_atom_site_label
_atom_site_type_symbol
_atom_site_fract_x
_atom_site_fract_y
_atom_site_fract_z
Sr1 Sr 0.0000 0.0000 0.0000
Li1 Li 0.0000 0.5000 0.5000
Y1 Y 0.5000 0.5000 0.5000
```

Computed properties:
energy of formation: 0.692 eV per atom
distance to the lowest polymorph of the same formula: 0 meV/atom

***

(4)
First-principles (GGA-PBEsol) data for crystalline KAlSi2 at its relaxed geometry, as listed in the Alexandria database.

The structure in CIF format:
```
data_KAlSi2
_chemical_formula_sum 'K2 Al2 Si4'
_symmetry_space_group_name_H-M 'I m m 2'
_symmetry_Int_Tables_number 44
_cell_length_a 3.7411
_cell_length_b 6.1196
_cell_length_c 8.7371
_cell_angle_alpha 90.00
_cell_angle_beta 90.00
_cell_angle_gamma 90.00
loop_
_symmetry_equiv_pos_as_xyz
'x,y,z'
'-x,-y,z'
'-x,y,z'
'x,-y,z'
'x+1/2,y+1/2,z+1/2'
'-x+1/2,-y+1/2,z+1/2'
'-x+1/2,y+1/2,z+1/2'
'x+1/2,-y+1/2,z+1/2'
loop_
_atom_site_label
_atom_site_type_symbol
_atom_site_fract_x
_atom_site_fract_y
_atom_site_fract_z
K1 K 0.0000 0.0000 0.0000
Al1 Al 0.0000 0.5000 0.1706
Si1 Si 0.0000 0.0000 0.4737
Si2 Si 0.0000 0.5000 0.8143
```

Computed properties:
raw formation energy: 415 meV per atom

***

(5)
First-principles (GGA-PBEsol) data for crystalline CaAlTe at its relaxed geometry, as listed in the Alexandria database.

The structure in CIF format:
```
data_CaAlTe
_chemical_formula_sum 'Ca2 Al2 Te2'
_symmetry_space_group_name_H-M 'I 4 m m'
_symmetry_Int_Tables_number 107
_symmetry_space_group_name_Hall 'I 4 -2'
_cell_length_a 3.7552
_cell_length_b 3.7552
_cell_length_c 10.7471
_cell_angle_alpha 90.00
_cell_angle_beta 90.00
_cell_angle_gamma 90.00
loop_
_atom_site_label
_atom_site_type_symbol
_atom_site_fract_x
_atom_site_fract_y
_atom_site_fract_z
Ca1 Ca 0.0000 0.0000 0.0000
Al1 Al 0.0000 0.0000 0.6878
Te1 Te 0.0000 0.0000 0.3146
```

Computed properties:
raw formation energy: -485 meV per atom
distance to the lowest polymorph of the same formula: 0 meV/atom

***

(6)
First-principles (GGA-PBEsol) data for crystalline Sc2ReAg at its relaxed geometry, as listed in the Alexandria database.

The structure in CIF format:
```
data_Sc2ReAg
_chemical_formula_sum 'Sc4 Re2 Ag2'
_symmetry_space_group_name_H-M 'I -4 m 2'
_symmetry_Int_Tables_number 119
_symmetry_space_group_name_Hall 'I -4 -2'
_cell_length_a 3.9739
_cell_length_b 3.9739
_cell_length_c 8.9251
_cell_angle_alpha 90.00
_cell_angle_beta 90.00
_cell_angle_gamma 90.00
loop_
_atom_site_label
_atom_site_type_symbol
_atom_site_fract_x
_atom_site_fract_y
_atom_site_fract_z
Sc1 Sc 0.0000 0.0000 0.0000
Sc2 Sc 0.0000 0.5000 0.2500
Re1 Re 0.0000 0.5000 0.7500
Ag1 Ag 0.0000 0.0000 0.5000
```

Computed properties:
energy of formation: 0.054 eV per atom

***

(7)
First-principles (GGA-PBEsol) data for crystalline BaYTa2 at its relaxed geometry, as listed in the Alexandria database.

The structure in CIF format:
```
data_BaYTa2
_chemical_formula_sum 'Ba1 Y1 Ta2'
_symmetry_space_group_name_H-M 'P 4 m m'
_symmetry_Int_Tables_number 99
_cell_length_a 3.5233
_cell_length_b 3.5233
_cell_length_c 8.9437
_cell_angle_alpha 90.00
_cell_angle_beta 90.00
_cell_angle_gamma 90.00
loop_
_symmetry_equiv_pos_as_xyz
'x,y,z'
'-y,x,z'
'-x,-y,z'
'y,-x,z'
'-x,y,z'
'y,x,z'
'x,-y,z'
'-y,-x,z'
loop_
_atom_site_label
_atom_site_type_symbol
_atom_site_fract_x
_atom_site_fract_y
_atom_site_fract_z
Ba1 Ba 0.0000 0.0000 0.0000
Y1 Y 0.5000 0.5000 0.6278
Ta1 Ta 0.0000 0.0000 0.4105
Ta2 Ta 0.5000 0.5000 0.2835
```

Computed properties:
energy of formation: 0.435 eV per atom
distance to the lowest polymorph of the same formula: 0 meV/atom

***

(8)
First-principles (GGA-PBEsol) data for crystalline MgCrFe2 at its relaxed geometry, as listed in the Alexandria database.

The structure in CIF format:
```
data_MgCrFe2
_chemical_formula_sum 'Mg2 Cr2 Fe4'
_symmetry_space_group_name_H-M 'C m m m'
_symmetry_Int_Tables_number 65
_symmetry_space_group_name_Hall '-C 2 2'
_cell_length_a 5.2627
_cell_length_b 7.2546
_cell_length_c 2.5742
_cell_angle_alpha 90.00
_cell_angle_beta 90.00
_cell_angle_gamma 90.00
loop_
_atom_site_label
_atom_site_type_symbol
_atom_site_fract_x
_atom_site_fract_y
_atom_site_fract_z
Mg1 Mg 0.0000 0.0000 0.0000
Cr1 Cr 0.0000 0.5000 0.0000
Fe1 Fe 0.2500 0.2500 0.5000
```

Computed properties:
energy of formation: 0.414 eV per atom

***

(9)
First-principles (GGA-PBEsol) data for crystalline LiMgIn at its relaxed geometry, as listed in the Alexandria database.

The structure in CIF format:
```
data_LiMgIn
_chemical_formula_sum 'Li2 Mg2 In2'
_symmetry_space_group_name_H-M 'I m m 2'
_symmetry_Int_Tables_number 44
_cell_length_a 3.2080
_cell_length_b 4.2621
_cell_length_c 8.8905
_cell_angle_alpha 90.00
_cell_angle_beta 90.00
_cell_angle_gamma 90.00
loop_
_symmetry_equiv_pos_as_xyz
'x,y,z'
'-x,-y,z'
'-x,y,z'
'x,-y,z'
'x+1/2,y+1/2,z+1/2'
'-x+1/2,-y+1/2,z+1/2'
'-x+1/2,y+1/2,z+1/2'
'x+1/2,-y+1/2,z+1/2'
loop_
_atom_site_label
_atom_site_type_symbol
_atom_site_fract_x
_atom_site_fract_y
_atom_site_fract_z
Li1 Li 0.0000 0.0000 0.0000
Mg1 Mg 0.0000 0.0000 0.6702
In1 In 0.0000 0.0000 0.3373
```

Computed properties:
energy of formation: -0.204 eV per atom
distance to the lowest polymorph of the same formula: 0 meV/atom

***

(10)
First-principles (GGA-PBEsol) data for crystalline TaFe4Mo at its relaxed geometry, as listed in the Alexandria database.

The structure in CIF format:
```
data_TaFe4Mo
_chemical_formula_sum 'Ta4 Fe16 Mo4'
_symmetry_space_group_name_H-M 'F -4 3 m'
_symmetry_Int_Tables_number 216
_symmetry_space_group_name_Hall 'F -4 2 3'
_cell_length_a 6.6160
_cell_length_b 6.6160
_cell_length_c 6.6160
_cell_angle_alpha 90.00
_cell_angle_beta 90.00
_cell_angle_gamma 90.00
loop_
_atom_site_label
_atom_site_type_symbol
_atom_site_fract_x
_atom_site_fract_y
_atom_site_fract_z
Ta1 Ta 0.0000 0.0000 0.0000
Fe1 Fe 0.1254 0.1254 0.3746
Mo1 Mo 0.2500 0.2500 0.7500
```

Computed properties:
energy of formation: -0.120 eV per atom

***

(11)
First-principles (GGA-PBEsol) data for crystalline ZrMo2Ir at its relaxed geometry, as listed in the Alexandria database.

The structure in CIF format:
```
data_ZrMo2Ir
_chemical_formula_sum 'Zr3 Mo6 Ir3'
_symmetry_space_group_name_H-M 'R -3 m'
_symmetry_Int_Tables_number 166
_symmetry_space_group_name_Hall '-R 3 2"'
_cell_length_a 2.7816
_cell_length_b 2.7816
_cell_length_c 29.2642
_cell_angle_alpha 90.00
_cell_angle_beta 90.00
_cell_angle_gamma 120.00
loop_
_atom_site_label
_atom_site_type_symbol
_atom_site_fract_x
_atom_site_fract_y
_atom_site_fract_z
Zr1 Zr 0.0000 0.0000 0.0000
Mo1 Mo 0.0000 0.0000 0.2421
Ir1 Ir 0.0000 0.0000 0.5000
```

Computed properties:
energy of formation: 0.176 eV per atom
distance to the lowest polymorph of the same formula: 366 meV/atom

***

(12)
First-principles (GGA-PBEsol) data for crystalline LaReF2 at its relaxed geometry, as listed in the Alexandria database.

The structure in CIF format:
```
data_LaReF2
_chemical_formula_sum 'La3 Re3 F6'
_symmetry_space_group_name_H-M 'R -3 m'
_symmetry_Int_Tables_number 166
_symmetry_space_group_name_Hall '-R 3 2"'
_cell_length_a 4.0365
_cell_length_b 4.0365
_cell_length_c 12.8536
_cell_angle_alpha 90.00
_cell_angle_beta 90.00
_cell_angle_gamma 120.00
loop_
_atom_site_label
_atom_site_type_symbol
_atom_site_fract_x
_atom_site_fract_y
_atom_site_fract_z
La1 La 0.0000 0.0000 0.0000
Re1 Re 0.0000 0.0000 0.5000
F1 F 0.0000 0.0000 0.2008
```

Computed properties:
raw formation energy: -835 meV per atom